VASP calculation (GGA-PBE) on a relaxed structure of Tm2Co2Sn.

Energy   -5.873 eV/atom
Formation energy   -213 kJ/mol of formula units

```
Tm2Co2Sn
1.0
-0.703 4.456 -2.961
2.849 -4.197 -2.075
-7.280 -2.068 -1.384
Tm Co Sn
4 4 2
Direct
0.498 0.296 0.148
0.202 0.704 0.352
0.502 0.704 0.852
0.798 0.296 0.648
0.702 0.704 0.498
0.998 0.296 0.002
0.298 0.296 0.502
0.002 0.704 0.998
0.853 0.000 0.250
0.147 0.000 0.750
```